Ce2PmAl after structural relaxation, computed with PBE.

Unit cell a=4.961 b=4.636 c=4.636 alpha=90.00 beta=90.00 gamma=90.00
Each line ends with the local moment (μB).
Positions (direct):
Al 0.500 0.000 0.000  -0.01
Ce 0.000 0.000 0.500  0.58
Ce 0.000 0.500 0.000  0.58
Pm 0.500 0.500 0.500  0.05

Summary:
Energy above the lowest structure with this stoichiometry   37 meV/atom
Formation enthalpy at 0 K   -0.1357 eV/atom
Volume   26.7 Å³/atom